# 1
## Pm2Zn3Sn2 (GGA-PBE)

Data for crystalline Pm2Zn3Sn2 at its relaxed geometry.

Output
DFT formation energy: -471 meV per atom
density of states at the Fermi level: 4.17 states/eV per cell
total magnetization: 0.00 μB/f.u.
excess energy over the best structure of this formula in the dataset: 0.000 eV/atom

Cell: 4.505 6.025 6.832 Å, 109.99 90.00 111.95°
Sites, in units of the cell vectors:
Pm 0.857 0.713 0.234
Pm 0.143 0.287 0.766
Zn 0.500 0.000 0.000
Zn 0.578 0.156 0.410
Zn 0.422 0.844 0.590
Sn 0.844 0.688 0.743
Sn 0.156 0.312 0.257

---

# 2
## Pm5Zn2Sn4 (GGA-PBE)

Data for crystalline Pm5Zn2Sn4 at its relaxed geometry.

Output
DFT formation energy: -349 meV per atom
density of states at the Fermi level: 10.32 states/eV per cell
total magnetization: 0.00 μB/f.u.

Cell: 4.481 7.760 11.726 Å, 120.36 101.02 90.00°
Sites, in units of the cell vectors:
Pm 0.151 0.849 0.302
Pm 0.849 0.151 0.698
Pm 0.161 0.368 0.322
Pm 0.500 0.000 0.000
Pm 0.839 0.632 0.678
Zn 0.587 0.458 0.175
Zn 0.413 0.542 0.825
Sn 0.720 0.722 0.439
Sn 0.991 0.680 0.982
Sn 0.280 0.278 0.561
Sn 0.009 0.320 0.018

---

# 3
## Pm4ZnSn (GGA-PBE)

Data for crystalline Pm4ZnSn at its relaxed geometry.

Output
DFT formation energy: -186 meV per atom
density of states at the Fermi level: 8.58 states/eV per cell
total magnetization: 0.00 μB/f.u.

Cell: 5.169 5.169 7.325 Å, 89.98 89.99 90.00°
Sites, in units of the cell vectors:
Pm 0.501 0.997 0.265
Pm 0.501 0.998 0.731
Pm 0.001 0.497 0.731
Pm 0.001 0.497 0.265
Zn 0.001 0.997 0.498
Sn 0.501 0.497 0.998

---

# 4
## Pm2Zn3Sn (GGA-PBE)

Data for crystalline Pm2Zn3Sn at its relaxed geometry.

Output
DFT formation energy: -496 meV per atom
density of states at the Fermi level: 7.71 states/eV per cell
total magnetization: 0.00 μB/f.u.

Cell: 5.943 5.943 9.189 Å, 112.76 112.76 78.69°
Sites, in units of the cell vectors:
Pm 0.750 0.250 0.500
Pm 0.758 0.242 0.000
Pm 0.250 0.750 0.500
Pm 0.242 0.758 0.000
Zn 0.835 0.835 0.160
Zn 0.676 0.676 0.840
Zn 0.165 0.165 0.840
Zn 0.324 0.324 0.160
Zn 0.162 0.162 0.323
Zn 0.838 0.838 0.677
Sn 0.665 0.665 0.331
Sn 0.335 0.335 0.669

---

# 5
## Pm3Zn2Sn4 (GGA-PBE)

Data for crystalline Pm3Zn2Sn4 at its relaxed geometry.

Output
DFT formation energy: -555 meV per atom
density of states at the Fermi level: 5.42 states/eV per cell
total magnetization: 0.00 μB/f.u.
excess energy over the best structure of this formula in the dataset: 0.006 eV/atom

Cell: 4.565 6.299 9.199 Å, 109.12 90.00 111.25°
Sites, in units of the cell vectors:
Pm 0.629 0.258 0.686
Pm 0.000 0.000 0.000
Pm 0.371 0.742 0.314
Zn 0.693 0.387 0.355
Zn 0.307 0.613 0.645
Sn 0.705 0.411 0.066
Sn 0.295 0.589 0.934
Sn 0.917 0.835 0.613
Sn 0.083 0.165 0.387

---

# 6
## Pm2ZnSn2 (GGA-PBE)

Data for crystalline Pm2ZnSn2 at its relaxed geometry.

Output
DFT formation energy: -578 meV per atom
density of states at the Fermi level: 1.55 states/eV per cell
total magnetization: 0.00 μB/f.u.
excess energy over the best structure of this formula in the dataset: 0.070 eV/atom

Cell: 4.645 7.227 8.746 Å, 90.00 105.40 90.00°
Sites, in units of the cell vectors:
Pm 0.984 0.727 0.969
Pm 0.793 0.423 0.586
Pm 0.207 0.923 0.414
Pm 0.016 0.227 0.031
Zn 0.408 0.058 0.816
Zn 0.592 0.558 0.184
Sn 0.426 0.453 0.853
Sn 0.830 0.972 0.661
Sn 0.170 0.472 0.339
Sn 0.574 0.953 0.147

---

> Which of these has the highest DFT formation energy?

Pm4ZnSn

---

> DFT formation energy of number 3 (Pm4ZnSn)?

-186 meV per atom